Material: LaTa2W
Method: DFT, PBE-GGA
State: optimized geometry

Output
DOS(E_F)	3.88	states/eV/f.u.
excess energy over the best structure of this formula in the dataset	315	meV/atom

Structure (CIF):
```
data_LaTa2W
_space_group_name_H-M_alt 'I m m 2'
_space_group_IT_number 44
_space_group_name_Hall 'I 2 -2'
_cell_length_a 3.3241
_cell_length_b 4.9842
_cell_length_c 9.8207
_cell_angle_alpha 90.00
_cell_angle_beta 90.00
_cell_angle_gamma 90.00
loop_
_atom_site_label
_atom_site_type_symbol
_atom_site_fract_x
_atom_site_fract_y
_atom_site_fract_z
La1 La 0.0000 0.0000 0.0000
Ta1 Ta 0.0000 0.0000 0.5330
Ta2 Ta 0.0000 0.5000 0.7583
W1 W 0.0000 0.5000 0.2467
```

***

Material: LaTa2W
Method: DFT, PBE-GGA
State: optimized geometry

Output
DOS(E_F)	3.62	states/eV/f.u.
excess energy over the best structure of this formula in the dataset	299	meV/atom

Structure (CIF):
```
data_LaTa2W
_space_group_name_H-M_alt 'C 1 2/m 1'
_space_group_IT_number 12
_space_group_name_Hall '-C 2y'
_cell_length_a 8.8283
_cell_length_b 3.1080
_cell_length_c 6.3385
_cell_angle_alpha 90.00
_cell_angle_beta 96.30
_cell_angle_gamma 90.00
loop_
_atom_site_label
_atom_site_type_symbol
_atom_site_fract_x
_atom_site_fract_y
_atom_site_fract_z
La1 La 0.0000 0.0000 0.0000
Ta1 Ta 0.2334 0.0000 0.6958
W1 W 0.0000 0.5000 0.5000
```

***

Material: LaTa2W2
Method: DFT, PBE-GGA
State: optimized geometry

Output
DOS(E_F)	4.03	states/eV/f.u.
excess energy over the best structure of this formula in the dataset	22	meV/atom

Structure (CIF):
```
data_LaTa2W2
_space_group_name_H-M_alt 'P 4/m b m'
_space_group_IT_number 127
_space_group_name_Hall '-P 4 2ab'
_cell_length_a 8.3829
_cell_length_b 8.3829
_cell_length_c 2.9242
_cell_angle_alpha 90.00
_cell_angle_beta 90.00
_cell_angle_gamma 90.00
loop_
_atom_site_label
_atom_site_type_symbol
_atom_site_fract_x
_atom_site_fract_y
_atom_site_fract_z
La1 La 0.0000 0.0000 0.0000
Ta1 Ta 0.1402 0.3598 0.5000
W1 W 0.1513 0.6513 0.0000
```

***

Material: LaTa2W
Method: DFT, PBE-GGA
State: optimized geometry

Output
DOS(E_F)	5.01	states/eV/f.u.
excess energy over the best structure of this formula in the dataset	116	meV/atom

Structure (CIF):
```
data_LaTa2W
_space_group_name_H-M_alt 'P 4 m m'
_space_group_IT_number 99
_space_group_name_Hall 'P 4 -2'
_cell_length_a 3.3146
_cell_length_b 3.3146
_cell_length_c 7.8504
_cell_angle_alpha 90.00
_cell_angle_beta 90.00
_cell_angle_gamma 90.00
loop_
_atom_site_label
_atom_site_type_symbol
_atom_site_fract_x
_atom_site_fract_y
_atom_site_fract_z
La1 La 0.0000 0.0000 0.0000
Ta1 Ta 0.0000 0.0000 0.5250
Ta2 Ta 0.5000 0.5000 0.3233
W1 W 0.5000 0.5000 0.7042
```

***

Material: La4TaW
Method: DFT, PBE-GGA
State: optimized geometry

Output
DOS(E_F)	9.20	states/eV/f.u.
DFT total energy	-146.93	eV/cell

Structure (CIF):
```
data_La4TaW
_space_group_name_H-M_alt 'F -4 3 m'
_space_group_IT_number 216
_space_group_name_Hall 'F -4 2 3'
_cell_length_a 8.7090
_cell_length_b 8.7090
_cell_length_c 8.7090
_cell_angle_alpha 90.00
_cell_angle_beta 90.00
_cell_angle_gamma 90.00
loop_
_atom_site_label
_atom_site_type_symbol
_atom_site_fract_x
_atom_site_fract_y
_atom_site_fract_z
La1 La 0.1245 0.1245 0.3755
Ta1 Ta 0.0000 0.0000 0.0000
W1 W 0.2500 0.2500 0.7500
```

***

Material: LaTa2W
Method: DFT, PBE-GGA
State: optimized geometry

Output
DOS(E_F)	4.35	states/eV/f.u.
excess energy over the best structure of this formula in the dataset	457	meV/atom

Structure (CIF):
```
data_LaTa2W
_space_group_name_H-M_alt 'C m m m'
_space_group_IT_number 65
_space_group_name_Hall '-C 2 2'
_cell_length_a 5.5632
_cell_length_b 10.2066
_cell_length_c 2.8524
_cell_angle_alpha 90.00
_cell_angle_beta 90.00
_cell_angle_gamma 90.00
loop_
_atom_site_label
_atom_site_type_symbol
_atom_site_fract_x
_atom_site_fract_y
_atom_site_fract_z
La1 La 0.0000 0.0000 0.0000
Ta1 Ta 0.2500 0.2500 0.5000
W1 W 0.0000 0.5000 0.0000
```

***

Material: LaTa2W
Method: DFT, PBE-GGA
State: optimized geometry

Output
DOS(E_F)	4.45	states/eV/f.u.
excess energy over the best structure of this formula in the dataset	212	meV/atom

Structure (CIF):
```
data_LaTa2W
_space_group_name_H-M_alt 'P 1 m 1'
_space_group_IT_number 6
_space_group_name_Hall 'P -2y'
_cell_length_a 2.9464
_cell_length_b 4.5324
_cell_length_c 6.5870
_cell_angle_alpha 90.00
_cell_angle_beta 100.79
_cell_angle_gamma 90.00
loop_
_atom_site_label
_atom_site_type_symbol
_atom_site_fract_x
_atom_site_fract_y
_atom_site_fract_z
La1 La 0.0000 0.0000 0.0000
Ta1 Ta 0.0655 0.0000 0.5167
Ta2 Ta 0.6030 0.5000 0.3181
W1 W 0.4530 0.5000 0.6988
```

***

Material: LaTa2W
Method: DFT, PBE-GGA
State: optimized geometry

Output
DOS(E_F)	4.93	states/eV/f.u.
excess energy over the best structure of this formula in the dataset	381	meV/atom

Structure (CIF):
```
data_LaTa2W
_space_group_name_H-M_alt 'P 4/m m m'
_space_group_IT_number 123
_space_group_name_Hall '-P 4 2'
_cell_length_a 4.9525
_cell_length_b 4.9525
_cell_length_c 3.2140
_cell_angle_alpha 90.00
_cell_angle_beta 90.00
_cell_angle_gamma 90.00
loop_
_atom_site_label
_atom_site_type_symbol
_atom_site_fract_x
_atom_site_fract_y
_atom_site_fract_z
La1 La 0.0000 0.0000 0.0000
Ta1 Ta 0.0000 0.5000 0.5000
W1 W 0.5000 0.5000 0.0000
```

***

Material: LaTa2W
Method: DFT, PBE-GGA
State: optimized geometry

Output
DOS(E_F)	3.61	states/eV/f.u.
excess energy over the best structure of this formula in the dataset	305	meV/atom

Structure (CIF):
```
data_LaTa2W
_space_group_name_H-M_alt 'I -4 m 2'
_space_group_IT_number 119
_space_group_name_Hall 'I -4 -2'
_cell_length_a 4.8517
_cell_length_b 4.8517
_cell_length_c 6.8263
_cell_angle_alpha 90.00
_cell_angle_beta 90.00
_cell_angle_gamma 90.00
loop_
_atom_site_label
_atom_site_type_symbol
_atom_site_fract_x
_atom_site_fract_y
_atom_site_fract_z
La1 La 0.0000 0.0000 0.0000
Ta1 Ta 0.0000 0.0000 0.5000
Ta2 Ta 0.0000 0.5000 0.7500
W1 W 0.0000 0.5000 0.2500
```

***

Material: LaTa2W
Method: DFT, PBE-GGA
State: optimized geometry

Output
DOS(E_F)	5.26	states/eV/f.u.
excess energy over the best structure of this formula in the dataset	107	meV/atom

Structure (CIF):
```
data_LaTa2W
_space_group_name_H-M_alt 'C m m 2'
_space_group_IT_number 35
_space_group_name_Hall 'C 2 -2'
_cell_length_a 3.2391
_cell_length_b 4.9169
_cell_length_c 10.2018
_cell_angle_alpha 90.00
_cell_angle_beta 90.00
_cell_angle_gamma 90.00
loop_
_atom_site_label
_atom_site_type_symbol
_atom_site_fract_x
_atom_site_fract_y
_atom_site_fract_z
La1 La 0.0000 0.0000 0.0000
Ta1 Ta 0.0000 0.0000 0.4798
Ta2 Ta 0.0000 0.5000 0.7068
W1 W 0.0000 0.5000 0.2685
```

***

Material: LaTa2W
Method: DFT, PBE-GGA
State: optimized geometry

Output
DOS(E_F)	3.31	states/eV/f.u.
excess energy over the best structure of this formula in the dataset	267	meV/atom

Structure (CIF):
```
data_LaTa2W
_space_group_name_H-M_alt 'F m -3 m'
_space_group_IT_number 225
_space_group_name_Hall '-F 4 2 3'
_cell_length_a 6.8220
_cell_length_b 6.8220
_cell_length_c 6.8220
_cell_angle_alpha 90.00
_cell_angle_beta 90.00
_cell_angle_gamma 90.00
loop_
_atom_site_label
_atom_site_type_symbol
_atom_site_fract_x
_atom_site_fract_y
_atom_site_fract_z
La1 La 0.0000 0.0000 0.0000
Ta1 Ta 0.2500 0.2500 0.2500
W1 W 0.0000 0.0000 0.5000
```

***

Material: LaTa2W2
Method: DFT, PBE-GGA
State: optimized geometry

Output
DOS(E_F)	3.18	states/eV/f.u.
excess energy over the best structure of this formula in the dataset	0	meV/atom

Structure (CIF):
```
data_LaTa2W2
_space_group_name_H-M_alt 'I 4/m m m'
_space_group_IT_number 139
_space_group_name_Hall '-I 4 2'
_cell_length_a 4.3521
_cell_length_b 4.3521
_cell_length_c 11.6248
_cell_angle_alpha 90.00
_cell_angle_beta 90.00
_cell_angle_gamma 90.00
loop_
_atom_site_label
_atom_site_type_symbol
_atom_site_fract_x
_atom_site_fract_y
_atom_site_fract_z
La1 La 0.0000 0.0000 0.0000
Ta1 Ta 0.0000 0.5000 0.2500
W1 W 0.0000 0.0000 0.3859
```